This record from the Open Quantum Materials Database describes an optimized crystal structure of TmScNO. The functional is PBE.

Properties
symmetry: P4/mmm (123)
E above lowest polymorph: 0 meV per atom
magnetization: 0.004 μB per formula unit

Cell: 4.6534 4.6534 4.5512 Å, 90.00 90.00 90.00°
Closest atoms and distances in Å follow each position.
Positions (direct):
N 0.5000 0.0000 0.4997  2 Sc 2.28, 4 Tm 2.33
N 0.0000 0.5000 0.5003  2 Sc 2.28, 4 Tm 2.33
O 0.0000 0.0000 0.0000  2 Tm 2.28, 4 Sc 2.33
O 0.5000 0.5000 0.0000  2 Tm 2.28, 4 Sc 2.33
Sc 0.0000 0.5000 0.0002  2 N 2.28, 4 O 2.33
Sc 0.5000 0.0000 0.9998  2 N 2.28, 4 O 2.33
Tm 0.0000 0.0000 0.5000  2 O 2.28, 4 N 2.33
Tm 0.5000 0.5000 0.5000  2 O 2.28, 4 N 2.33



This record from the Open Quantum Materials Database describes an optimized crystal structure of TaFeC3. The functional is PBE.

Properties
symmetry: Cmcm (63)
magnetization: 0.617 μB per formula unit

Cell: 10.6713 10.6713 2.6212 Å, 90.00 90.00 163.35°
Closest atoms and distances in Å follow each position.
Positions (direct):
C 0.9804 0.0196 0.2500  2 C 1.55
C 0.8516 0.1484 0.2500  2 C 1.58
C 0.1899 0.8101 0.2500  2 C 1.58
C 0.8101 0.1899 0.7500  2 C 1.58
C 0.1484 0.8516 0.7500  2 C 1.58
C 0.0196 0.9804 0.7500  2 C 1.55
Fe 0.2857 0.7143 0.2500  7 C 2.02-2.09
Fe 0.7143 0.2857 0.7500  7 C 2.02-2.09
Ta 0.5857 0.4143 0.2500  12 C 2.42-2.71, 2 Ta 2.62
Ta 0.4143 0.5857 0.7500  12 C 2.42-2.71, 2 Ta 2.62



This record from the Open Quantum Materials Database describes an optimized crystal structure of Nd2Te4O11. The functional is PBE.

Properties
symmetry: C2/c (15)
magnetization: 0.003 μB per formula unit

Cell: 5.1963 6.8065 15.8261 Å, 92.16 99.45 112.44°
Closest atoms and distances in Å follow each position.
Positions (direct):
Nd 0.6621 0.8004 0.0375  8 O 2.37-2.59
Nd 0.3242 0.6996 0.4625  8 O 2.37-2.59
Nd 0.6758 0.3004 0.5375  8 O 2.37-2.59
Nd 0.3379 0.1996 0.9625  8 O 2.37-2.59
O 0.9987 0.1889 0.0473  1 Te 1.89
O 0.7230 0.4717 0.0587  1 Te 1.89
O 0.4867 0.0503 0.1020  1 Te 1.92
O 0.3143 0.6312 0.1324  1 Te 1.92
O 0.9624 0.8713 0.1748  1 Te 1.86
O 0.3861 0.2500 0.2500  2 Te 2.03
O 0.4163 0.6287 0.3253  1 Te 1.86
O 0.0507 0.8688 0.3676  1 Te 1.92
O 0.8343 0.4497 0.3980  1 Te 1.92
O 0.6925 0.0283 0.4413  1 Te 1.89
O 0.2625 0.3111 0.4527  1 Te 1.89
O 0.7375 0.6889 0.5473  1 Te 1.89
O 0.3075 0.9717 0.5587  1 Te 1.89
O 0.1657 0.5503 0.6020  1 Te 1.92
O 0.9493 0.1312 0.6324  1 Te 1.92
O 0.5837 0.3713 0.6748  1 Te 1.86
O 0.6139 0.7500 0.7500  2 Te 2.03
O 0.0376 0.1287 0.8253  1 Te 1.86
O 0.6857 0.3688 0.8676  1 Te 1.92
O 0.5133 0.9497 0.8980  1 Te 1.92
O 0.2770 0.5283 0.9413  1 Te 1.89
O 0.0013 0.8111 0.9527  1 Te 1.89
Te 0.9746 0.3816 0.1317  3 O 1.89-1.92
Te 0.3537 0.9564 0.2055  3 O 1.86-2.03
Te 0.6918 0.5436 0.2945  3 O 1.86-2.03
Te 0.9613 0.1184 0.3683  3 O 1.89-1.92
Te 0.0387 0.8816 0.6317  3 O 1.89-1.92
Te 0.3082 0.4564 0.7055  3 O 1.86-2.03
Te 0.6463 0.0436 0.7945  3 O 1.86-2.03
Te 0.0254 0.6184 0.8683  3 O 1.89-1.92



This record from the Open Quantum Materials Database describes an optimized crystal structure of LuInNO. The functional is PBE.

Properties
symmetry: Pca2_1 (29)
E above lowest polymorph: 0 meV per atom
magnetization: 0.057 μB per formula unit

Cell: 5.5856 8.2807 5.5834 Å, 90.00 90.00 90.00°
Closest atoms and distances in Å follow each position.
Positions (direct):
In 0.9551 0.1154 0.4488  3 N 2.19-2.27
In 0.4551 0.8846 0.4488  3 N 2.19-2.27
In 0.5449 0.1154 0.9488  3 N 2.19-2.27
In 0.0449 0.8846 0.9488  3 N 2.19-2.27
Lu 0.4968 0.3857 0.4801  1 N 2.17, 4 O 2.18-2.20
Lu 0.9968 0.6143 0.4801  1 N 2.17, 4 O 2.18-2.20
Lu 0.0032 0.3857 0.9801  1 N 2.17, 4 O 2.18-2.20
Lu 0.5032 0.6143 0.9801  1 N 2.17, 4 O 2.18-2.20
N 0.9396 0.1306 0.0446  1 Lu 2.17, 3 In 2.19-2.27
N 0.4396 0.8694 0.0446  1 Lu 2.17, 3 In 2.19-2.27
N 0.5604 0.1306 0.5446  1 Lu 2.17, 3 In 2.19-2.27
N 0.0604 0.8694 0.5446  1 Lu 2.17, 3 In 2.19-2.27
O 0.7490 0.4987 0.2289  4 Lu 2.18-2.20
O 0.2490 0.5013 0.2289  4 Lu 2.18-2.20
O 0.7510 0.4987 0.7289  4 Lu 2.18-2.20
O 0.2510 0.5013 0.7289  4 Lu 2.18-2.20



This record from the Open Quantum Materials Database describes an optimized crystal structure of Rb3SbW. The functional is PBE.

Properties
symmetry: I4/mcm (140)
magnetization: 3.999 μB per formula unit

Cell: 9.6493 9.6493 9.6493 Å, 121.84 121.84 86.85°
Closest atoms and distances in Å follow each position.
Positions (direct):
Rb 0.2500 0.2500 0.0000  2 Sb 3.50
Rb 0.7500 0.7500 0.0000  2 Sb 3.50
Rb 0.8437 0.3437 0.1875  2 Sb 3.54
Rb 0.3437 0.1563 0.5000  2 Sb 3.54
Rb 0.6563 0.8437 0.5000  2 Sb 3.54
Rb 0.1563 0.6563 0.8125  2 Sb 3.54
Sb 0.0000 0.0000 0.0000  6 Rb 3.50-3.54
Sb 0.5000 0.5000 0.0000  6 Rb 3.50-3.54
W 0.7500 0.2500 0.5000  4 Rb 4.07
W 0.2500 0.7500 0.5000  4 Rb 4.07



This record from the Open Quantum Materials Database describes an optimized crystal structure of Ni2SnSbAs. The functional is PBE.

Properties
symmetry: P4/nmm (129)
magnetization: 0.002 μB per formula unit

Cell: 4.3096 4.3096 10.0502 Å, 90.00 90.00 90.00°
Closest atoms and distances in Å follow each position.
Positions (direct):
As 0.0000 0.0000 0.5000  4 Ni 2.43
As 0.5000 0.5000 0.5000  4 Ni 2.43
Ni 0.0000 0.0000 0.0000  4 Sb 2.56
Ni 0.5000 0.5000 0.0000  4 Sb 2.56
Ni 0.0000 0.5000 0.3888  4 As 2.43, 1 Sb 2.53
Ni 0.5000 0.0000 0.6112  4 As 2.43, 1 Sb 2.53
Sb 0.0000 0.5000 0.1374  5 Ni 2.53-2.56
Sb 0.5000 0.0000 0.8626  5 Ni 2.53-2.56
Sn 0.5000 0.0000 0.2396  4 Sb 3.22, 8 Ni 3.23-3.40, 4 As 3.39
Sn 0.0000 0.5000 0.7604  4 Sb 3.22, 8 Ni 3.23-3.40, 4 As 3.39



This record from the Open Quantum Materials Database describes an optimized crystal structure of Li4ZnCd3. The functional is PBE.

Properties
symmetry: P-4m2 (115)

Cell: 4.5360 4.5360 6.4572 Å, 90.00 90.00 90.00°
Closest atoms and distances in Å follow each position.
Positions (direct):
Cd 0.0000 0.5000 0.2323  2 Zn 2.72, 5 Li 2.72-3.04, 2 Cd 2.85
Cd 0.0000 0.0000 0.5000  4 Li 2.83, 4 Cd 2.85
Cd 0.5000 0.0000 0.7677  2 Zn 2.72, 5 Li 2.72-3.04, 2 Cd 2.85
Li 0.0000 0.0000 0.0000  4 Cd 2.72, 4 Li 2.74
Li 0.5000 0.0000 0.2387  2 Zn 2.74, 4 Li 2.74-2.83, 3 Cd 2.83-3.04
Li 0.5000 0.5000 0.5000  4 Li 2.83, 4 Cd 2.85
Li 0.0000 0.5000 0.7613  2 Zn 2.74, 4 Li 2.74-2.83, 3 Cd 2.83-3.04
Zn 0.5000 0.5000 0.0000  4 Cd 2.72, 4 Li 2.74



This record from the Open Quantum Materials Database describes an optimized crystal structure of In2Cu2Ir. The functional is PBE.

Properties
symmetry: I4/mmm (139)
E above lowest polymorph: 322 meV per atom
magnetization: 0.001 μB per formula unit

Cell: 4.0643 4.0643 6.0730 Å, 109.55 109.55 90.00°
Closest atoms and distances in Å follow each position.
Positions (direct):
Cu 0.6019 0.6019 0.2038  1 Cu 2.18
Cu 0.3981 0.3981 0.7962  1 Cu 2.18
In 0.7500 0.2500 0.5000  4 Cu 2.58, 4 In 2.87
In 0.2500 0.7500 0.5000  4 Cu 2.58, 4 In 2.87
Ir 0.0000 0.0000 0.0000  8 Cu 3.07, 8 In 3.36



| no. | final energy (eV/atom) |
| --- | --- |
| 1 | -8.43 |
| 2 | -8.81 |
| 3 | -6.32 |
| 4 | -6.66 |
| 5 | -2.76 |
| 6 | -4.85 |
| 7 | -1.68 |
| 8 | -3.69 |